Computed, not measured: BaTcTe2 after structural relaxation at the GGA-PBE level of DFT.

- E_form (uncorrected) (eV per atom) = -0.32
- symmetry = Immm (71)
- total magnetization (μB/f.u.) = 1.4
- offset from the most stable computed form (meV per atom) = 186

Cell: 6.047 6.047 6.047 Å, 140.18 114.68 79.31°
Fractional positions:
Ba  0.000  0.000  0.000
Tc  0.500  0.500  0.000
Te  0.315  0.815  0.500
Te  0.685  0.185  0.500

=====

Computed, not measured: Tm6Sc2Ag after structural relaxation at the GGA-PBE level of DFT.

- ΔH_f (0 K) (meV per atom) = 18
- symmetry = P4_2/mnm (136)
- total magnetization (μB/f.u.) = 0.0

Cell: 9.810 9.810 5.144 Å, 90.00 90.00 90.00°
Fractional positions:
Tm  0.037  0.318  0.000
Tm  0.125  0.875  0.500
Tm  0.182  0.537  0.500
Tm  0.318  0.037  0.000
Tm  0.375  0.375  0.000
Tm  0.463  0.818  0.500
Tm  0.537  0.182  0.500
Tm  0.625  0.625  0.000
Tm  0.682  0.963  0.000
Tm  0.818  0.463  0.500
Tm  0.875  0.125  0.500
Tm  0.963  0.682  0.000
Sc  0.210  0.210  0.500
Sc  0.290  0.710  0.000
Sc  0.710  0.290  0.000
Sc  0.790  0.790  0.500
Ag  0.000  0.000  0.000
Ag  0.500  0.500  0.500

=====

Computed, not measured: Rb3Mg2USe6 after structural relaxation at the GGA-PBE level of DFT.

- E_form (uncorrected) (eV per atom) = -1.22
- symmetry = C2/m (12)
- total magnetization (μB/f.u.) = 1.0

Cell: 7.139 7.139 8.309 Å, 98.21 98.21 120.04°
Fractional positions:
Rb  0.000  0.000  0.000
Rb  0.331  0.669  0.000
Rb  0.669  0.331  0.000
Mg  0.166  0.834  0.500
Mg  0.834  0.166  0.500
U  0.500  0.500  0.500
Se  0.107  0.437  0.312
Se  0.234  0.234  0.689
Se  0.437  0.107  0.312
Se  0.563  0.893  0.688
Se  0.766  0.766  0.311
Se  0.893  0.563  0.688

=====

Computed, not measured: NbTc2Au2 after structural relaxation at the GGA-PBE level of DFT.

- ΔH_f (0 K) (meV per atom) = 492
- symmetry = I4/mmm (139)
- total magnetization (μB/f.u.) = 0.0
- offset from the most stable computed form (meV per atom) = 122

Cell: 6.923 6.923 6.923 Å, 148.22 148.22 45.57°
Fractional positions:
Nb  0.000  0.000  0.000
Tc  0.413  0.413  0.000
Tc  0.587  0.587  0.000
Au  0.250  0.750  0.500
Au  0.750  0.250  0.500